The following is a PBE calculation of a relaxed TlOsNO crystal, from OQMD via LeMat-Bulk.

- relative energy among the computed polymorphs (meV per atom) = 63

a b c (Å): 3.2303 6.3793 6.4593
angles (deg): 90.00 90.00 90.00
Fractional positions:
1 N 0.0000 0.9188 0.1924
2 N 0.0000 0.4188 0.8076
3 O 0.5000 0.2862 0.1591
4 O 0.5000 0.7862 0.8409
5 Os 0.5000 0.9970 0.0684
6 Os 0.5000 0.4970 0.9316
7 Tl 0.0000 0.5521 0.3816
8 Tl 0.0000 0.0521 0.6185

---

The following is a PBE calculation of a relaxed TlOsNO crystal, from OQMD via LeMat-Bulk.

- relative energy among the computed polymorphs (meV per atom) = 372

a b c (Å): 3.8684 3.8684 7.3666
angles (deg): 90.00 90.00 90.00
Fractional positions:
1 N 0.7500 0.7500 0.3829
2 N 0.2500 0.2500 0.6171
3 O 0.7500 0.2500 0.0000
4 O 0.2500 0.7500 0.0000
5 Os 0.7500 0.2500 0.5000
6 Os 0.2500 0.7500 0.5000
7 Tl 0.2500 0.2500 0.1583
8 Tl 0.7500 0.7500 0.8417

---

The following is a PBE calculation of a relaxed TlOsNO crystal, from OQMD via LeMat-Bulk.

- relative energy among the computed polymorphs (meV per atom) = 20

a b c (Å): 3.6256 6.2206 6.3311
angles (deg): 90.00 90.00 90.00
Fractional positions:
1 N 0.0000 0.7879 0.3869
2 N 0.0000 0.2879 0.6131
3 O 0.5000 0.4383 0.2985
4 O 0.5000 0.9383 0.7015
5 Os 0.0000 0.4944 0.3973
6 Os 0.0000 0.9944 0.6027
7 Tl 0.5000 0.0333 0.1435
8 Tl 0.5000 0.5333 0.8565

---

The following is a PBE calculation of a relaxed TlOsNO crystal, from OQMD via LeMat-Bulk.

- relative energy among the computed polymorphs (meV per atom) = 0

a b c (Å): 5.5691 9.0520 4.9492
angles (deg): 90.00 90.00 90.00
Fractional positions:
1 N 0.3581 0.1101 0.1378
2 N 0.8581 0.8899 0.1378
3 N 0.1419 0.1101 0.6378
4 N 0.6419 0.8899 0.6378
5 O 0.9252 0.2656 0.0328
6 O 0.4252 0.7344 0.0328
7 O 0.5748 0.2656 0.5328
8 O 0.0748 0.7344 0.5328
9 Os 0.0266 0.0644 0.0148
10 Os 0.5266 0.9356 0.0148
11 Os 0.4734 0.0644 0.5148
12 Os 0.9734 0.9356 0.5148
13 Tl 0.5050 0.3639 0.0170
14 Tl 0.0050 0.6361 0.0170
15 Tl 0.9950 0.3639 0.5170
16 Tl 0.4950 0.6361 0.5170